A plane-wave DFT calculation with GGA+U was carried out for Rb3MnMo2O8 after structural relaxation.

Total DFT energy (no corrections) = -6.29 eV/atom
Crystal system = trigonal

Lattice parameters (Å, degrees): 6.1036 6.1036 7.9569 90.00 90.00 120.00
Last column: nearest neighbours and their distance in Å.
Space group P-3m1 (No. 164)
One atom of each set of equivalent atoms:
Rb  0.0000  0.0000  0.0000 x1  12 O 3.19-3.53
Rb  0.3333  0.6667  0.6786 x2  7 O 2.74-3.05
Mn  0.0000  0.0000  0.5000 x1  6 O 2.24
Mo  0.3333  0.6667  0.2481 x2  4 O 1.79-1.85
O  0.1697  0.3394  0.3316 x6  1 Mo 1.85
O  0.3333  0.6667  0.0231 x2  1 Mo 1.79